No. 1
This record from the Alexandria database describes AcY2NpO8 after structural relaxation. The functional is GGA-PBE.

Unit cell a=4.046 b=7.601 c=5.484 alpha=90.00 beta=94.77 gamma=90.00
Fractional coordinates of all 12 atoms:
Ac1 0.000 0.000 0.000
Y1 0.500 0.246 0.500
Y2 0.500 0.754 0.500
Np1 0.000 0.500 0.000
O1 0.035 0.290 0.758
O2 0.035 0.710 0.758
O3 0.444 0.500 0.222
O4 0.486 0.000 0.732
O5 0.514 0.000 0.268
O6 0.556 0.500 0.778
O7 0.965 0.290 0.242
O8 0.965 0.710 0.242

Raw formation energy (eV per atom): -3.132
Electronic total energy (eV per atom): -8.936

---

No. 2
This record from the Alexandria database describes Rb2MgZn3Sn4 after structural relaxation. The functional is GGA-PBE.

Unit cell a=4.791 b=4.791 c=12.087 alpha=90.00 beta=90.00 gamma=90.00
Fractional coordinates of all 10 atoms:
Rb1 0.000 0.500 0.249
Rb2 0.500 0.000 0.751
Mg1 0.000 0.000 0.500
Zn1 0.000 0.500 0.863
Zn2 0.500 0.000 0.137
Zn3 0.500 0.500 0.500
Sn1 0.000 0.000 0.000
Sn2 0.000 0.500 0.635
Sn3 0.500 0.000 0.365
Sn4 0.500 0.500 0.000

Electronic total energy (eV per atom): -2.448

---

No. 3
This record from the Alexandria database describes BaIO2F after structural relaxation. The functional is GGA-PBE.

Unit cell a=5.057 b=5.057 c=4.897 alpha=90.00 beta=90.00 gamma=90.00
Fractional coordinates of all 5 atoms:
Ba1 0.000 0.000 0.000
I1 0.500 0.500 0.500
O1 0.000 0.500 0.000
O2 0.500 0.000 0.000
F1 0.000 0.000 0.500

Raw formation energy (eV per atom): -0.588
Electronic total energy (eV per atom): -3.640

---

No. 4
This record from the Alexandria database describes DyHo3ErTm after structural relaxation. The functional is GGA-PBE.

Unit cell a=10.089 b=10.089 c=6.869 alpha=90.08 beta=90.08 gamma=32.42
Fractional coordinates of all 12 atoms:
Dy1 0.053 0.053 0.252
Dy2 0.947 0.947 0.748
Ho1 0.164 0.164 0.748
Ho2 0.218 0.218 0.250
Ho3 0.480 0.480 0.251
Ho4 0.520 0.520 0.749
Ho5 0.782 0.782 0.750
Ho6 0.836 0.836 0.252
Er1 0.352 0.352 0.969
Er2 0.648 0.648 0.031
Tm1 0.352 0.352 0.532
Tm2 0.648 0.648 0.468

Electronic total energy (eV per atom): -4.344